Record 1
# Ce5Tc2Au2 | Alexandria | PBE | optimized geometry
# Formation enthalpy at 0 K ... -321 meV/atom
# Space-group type ... Cmce, No. 64
# Crystal system ... orthorhombic
data_Ce5Tc2Au2
_cell_length_a 7.605
_cell_length_b 7.564
_cell_length_c 8.480
_cell_angle_alpha 90.00
_cell_angle_beta 63.36
_cell_angle_gamma 90.00
_symmetry_space_group_name_H-M 'P 1'
_symmetry_Int_Tables_number 1
_symmetry_space_group_name_Hall 'P 1'
loop_
_atom_site_label
_atom_site_type_symbol
_atom_site_fract_x
_atom_site_fract_y
_atom_site_fract_z
Ce1 Ce 0.694 0.322 0.249
Ce2 Ce 0.443 0.178 0.751
Ce3 Ce 0.557 0.822 0.249
Au1 Au 0.719 0.500 0.562
Ce4 Ce 0.306 0.678 0.751
Ce5 Ce 0.194 0.178 0.249
Ce6 Ce 0.000 0.000 0.000
Ce7 Ce 0.943 0.322 0.751
Ce8 Ce 0.500 0.500 0.000
Tc1 Tc 0.640 0.141 0.000
Tc2 Tc 0.860 0.641 0.000
Au2 Au 0.781 0.000 0.438
Ce9 Ce 0.057 0.678 0.249
Au3 Au 0.219 0.000 0.562
Au4 Au 0.281 0.500 0.438
Tc3 Tc 0.140 0.359 0.000
Tc4 Tc 0.360 0.859 0.000
Ce10 Ce 0.806 0.822 0.751


Record 2
# Ce4TcAu | Alexandria | PBE | optimized geometry
# Formation enthalpy at 0 K ... -263 meV/atom
# Space-group type ... C2/c, No. 15
# Crystal system ... monoclinic
data_Ce4TcAu
_cell_length_a 5.983
_cell_length_b 8.720
_cell_length_c 7.417
_cell_angle_alpha 115.37
_cell_angle_beta 99.85
_cell_angle_gamma 113.27
_symmetry_space_group_name_H-M 'P 1'
_symmetry_Int_Tables_number 1
_symmetry_space_group_name_Hall 'P 1'
loop_
_atom_site_label
_atom_site_type_symbol
_atom_site_fract_x
_atom_site_fract_y
_atom_site_fract_z
Au1 Au 0.637 0.387 0.774
Ce1 Ce 0.357 0.929 0.623
Tc1 Tc 0.745 0.995 0.991
Au2 Au 0.363 0.613 0.226
Ce2 Ce 0.963 0.809 0.189
Tc2 Tc 0.255 0.005 0.009
Ce3 Ce 0.234 0.306 0.377
Ce4 Ce 0.037 0.191 0.811
Ce5 Ce 0.725 0.380 0.189
Ce6 Ce 0.766 0.694 0.623
Ce7 Ce 0.643 0.071 0.377
Ce8 Ce 0.275 0.620 0.811


Record 3
# Ce3TcAu | Alexandria | PBE | optimized geometry
# Formation enthalpy at 0 K ... -235 meV/atom
# Space-group type ... P-1, No. 2
# Crystal system ... triclinic
data_Ce3TcAu
_cell_length_a 5.348
_cell_length_b 6.316
_cell_length_c 8.626
_cell_angle_alpha 108.56
_cell_angle_beta 87.73
_cell_angle_gamma 108.30
_symmetry_space_group_name_H-M 'P 1'
_symmetry_Int_Tables_number 1
_symmetry_space_group_name_Hall 'P 1'
loop_
_atom_site_label
_atom_site_type_symbol
_atom_site_fract_x
_atom_site_fract_y
_atom_site_fract_z
Ce1 Ce 0.190 0.322 0.614
Tc1 Tc 0.925 0.694 0.104
Ce2 Ce 0.086 0.234 0.197
Tc2 Tc 0.075 0.306 0.896
Au1 Au 0.657 0.206 0.456
Ce3 Ce 0.584 0.211 0.867
Ce4 Ce 0.914 0.766 0.803
Au2 Au 0.343 0.794 0.544
Ce5 Ce 0.810 0.678 0.386
Ce6 Ce 0.416 0.789 0.133


Record 4
# CeThTcAu | Alexandria | PBE | optimized geometry
# Formation enthalpy at 0 K ... -249 meV/atom
# Space-group type ... F-43m, No. 216
# Crystal system ... cubic
data_CeThTcAu
_cell_length_a 5.101
_cell_length_b 5.101
_cell_length_c 5.101
_cell_angle_alpha 60.00
_cell_angle_beta 60.00
_cell_angle_gamma 60.00
_symmetry_space_group_name_H-M 'P 1'
_symmetry_Int_Tables_number 1
_symmetry_space_group_name_Hall 'P 1'
loop_
_atom_site_label
_atom_site_type_symbol
_atom_site_fract_x
_atom_site_fract_y
_atom_site_fract_z
Au1 Au 0.250 0.250 0.250
Ce1 Ce 0.000 0.000 0.000
Th1 Th 0.500 0.500 0.500
Tc1 Tc 0.750 0.750 0.750


Record 5
# Ce5Te5Au | Alexandria | PBE | optimized geometry
# Space-group type ... C2/m, No. 12
# Crystal system ... monoclinic
# Formation energy without anion corrections ... -12.78 eV per formula unit
data_Ce5Te5Au
_cell_length_a 6.335
_cell_length_b 7.732
_cell_length_c 8.884
_cell_angle_alpha 106.99
_cell_angle_beta 90.00
_cell_angle_gamma 114.18
_symmetry_space_group_name_H-M 'P 1'
_symmetry_Int_Tables_number 1
_symmetry_space_group_name_Hall 'P 1'
loop_
_atom_site_label
_atom_site_type_symbol
_atom_site_fract_x
_atom_site_fract_y
_atom_site_fract_z
Te1 Te 0.327 0.654 0.664
Te2 Te 0.664 0.327 0.826
Te3 Te 0.000 0.000 0.500
Ce1 Ce 0.161 0.321 0.838
Ce2 Ce 0.500 0.000 0.000
Te4 Te 0.336 0.673 0.174
Ce3 Ce 0.839 0.678 0.674
Au1 Au 0.000 0.000 0.000
Ce4 Ce 0.161 0.322 0.326
Ce5 Ce 0.839 0.679 0.162
Te5 Te 0.673 0.346 0.336


Record 6
# Ce6Te5Au | Alexandria | PBE | optimized geometry
# Space-group type ... C2/m, No. 12
# Crystal system ... monoclinic
# Formation energy without anion corrections ... -14.58 eV per formula unit
data_Ce6Te5Au
_cell_length_a 7.742
_cell_length_b 7.742
_cell_length_c 7.696
_cell_angle_alpha 99.70
_cell_angle_beta 99.70
_cell_angle_gamma 119.84
_symmetry_space_group_name_H-M 'P 1'
_symmetry_Int_Tables_number 1
_symmetry_space_group_name_Hall 'P 1'
loop_
_atom_site_label
_atom_site_type_symbol
_atom_site_fract_x
_atom_site_fract_y
_atom_site_fract_z
Te1 Te 0.500 0.500 0.500
Ce1 Ce 0.597 0.921 0.759
Au1 Au 0.000 0.000 0.000
Ce2 Ce 0.921 0.597 0.759
Te2 Te 0.174 0.826 0.500
Te3 Te 0.826 0.174 0.500
Ce3 Ce 0.240 0.240 0.749
Ce4 Ce 0.403 0.079 0.241
Ce5 Ce 0.079 0.403 0.241
Te4 Te 0.665 0.335 0.000
Ce6 Ce 0.760 0.760 0.251
Te5 Te 0.335 0.665 0.000


Record 7
# CeTe3Au2 | Alexandria | PBE | optimized geometry
# Space-group type ... C2/m, No. 12
# Crystal system ... monoclinic
# Formation energy without anion corrections ... -3.66 eV per formula unit
data_CeTe3Au2
_cell_length_a 4.465
_cell_length_b 7.966
_cell_length_c 10.996
_cell_angle_alpha 98.05
_cell_angle_beta 101.72
_cell_angle_gamma 90.00
_symmetry_space_group_name_H-M 'P 1'
_symmetry_Int_Tables_number 1
_symmetry_space_group_name_Hall 'P 1'
loop_
_atom_site_label
_atom_site_type_symbol
_atom_site_fract_x
_atom_site_fract_y
_atom_site_fract_z
Au1 Au 0.050 0.147 0.101
Te1 Te 0.084 0.820 0.169
Au2 Au 0.297 0.553 0.593
Te2 Te 0.578 0.350 0.156
Au3 Au 0.703 0.447 0.407
Te3 Te 0.422 0.650 0.844
Te4 Te 0.916 0.180 0.831
Te5 Te 0.753 0.783 0.507
Au4 Au 0.950 0.853 0.899
Ce1 Ce 0.348 0.958 0.697
Ce2 Ce 0.652 0.042 0.303
Te6 Te 0.247 0.217 0.493


Record 8
# CeTeAu | Alexandria | PBE | optimized geometry
# Space-group type ... I4mm, No. 107
# Crystal system ... tetragonal
# Relative energy among the computed polymorphs ... 301 kJ/mol of formula units
# Formation energy without anion corrections ... 0.53 eV per formula unit
data_CeTeAu
_cell_length_a 2.993
_cell_length_b 2.993
_cell_length_c 9.640
_cell_angle_alpha 98.93
_cell_angle_beta 98.93
_cell_angle_gamma 90.00
_symmetry_space_group_name_H-M 'P 1'
_symmetry_Int_Tables_number 1
_symmetry_space_group_name_Hall 'P 1'
loop_
_atom_site_label
_atom_site_type_symbol
_atom_site_fract_x
_atom_site_fract_y
_atom_site_fract_z
Ce1 Ce 0.955 0.955 0.911
Te1 Te 0.786 0.786 0.573
Au1 Au 0.108 0.108 0.216


Record 9
# Ce4Te3Au | Alexandria | PBE | optimized geometry
# Space-group type ... Cmmm, No. 65
# Crystal system ... orthorhombic
# Formation energy without anion corrections ... -9.06 eV per formula unit
data_Ce4Te3Au
_cell_length_a 4.373
_cell_length_b 7.759
_cell_length_c 7.759
_cell_angle_alpha 108.95
_cell_angle_beta 90.00
_cell_angle_gamma 90.00
_symmetry_space_group_name_H-M 'P 1'
_symmetry_Int_Tables_number 1
_symmetry_space_group_name_Hall 'P 1'
loop_
_atom_site_label
_atom_site_type_symbol
_atom_site_fract_x
_atom_site_fract_y
_atom_site_fract_z
Te1 Te 0.000 0.500 0.000
Ce1 Ce 0.500 0.753 0.247
Te2 Te 0.000 0.000 0.500
Te3 Te 0.500 0.500 0.500
Ce2 Ce 0.500 0.247 0.753
Au1 Au 0.500 0.000 0.000
Ce3 Ce 0.000 0.764 0.764
Ce4 Ce 0.000 0.236 0.236


Record 10
# CeTe2Au | Alexandria | PBE | optimized geometry
# Space-group type ... Pbcm, No. 57
# Crystal system ... orthorhombic
# Formation energy without anion corrections ... -3.58 eV per formula unit
data_CeTe2Au
_cell_length_a 6.743
_cell_length_b 8.593
_cell_length_c 7.963
_cell_angle_alpha 90.00
_cell_angle_beta 90.00
_cell_angle_gamma 90.02
_symmetry_space_group_name_H-M 'P 1'
_symmetry_Int_Tables_number 1
_symmetry_space_group_name_Hall 'P 1'
loop_
_atom_site_label
_atom_site_type_symbol
_atom_site_fract_x
_atom_site_fract_y
_atom_site_fract_z
Au1 Au 0.507 0.000 0.750
Au2 Au 0.493 0.000 0.250
Au3 Au 0.507 0.500 0.750
Au4 Au 0.493 0.500 0.250
Te1 Te 0.361 0.250 0.076
Ce1 Ce 0.174 0.250 0.458
Te2 Te 0.639 0.250 0.576
Te3 Te 0.086 0.000 0.750
Ce2 Ce 0.826 0.250 0.958
Ce3 Ce 0.174 0.750 0.042
Te4 Te 0.361 0.750 0.424
Te5 Te 0.914 0.500 0.250
Te6 Te 0.086 0.500 0.750
Te7 Te 0.639 0.750 0.924
Ce4 Ce 0.826 0.750 0.542
Te8 Te 0.914 0.000 0.250


Record 11
# CeTe2Au | Alexandria | PBE | optimized geometry
# Space-group type ... R-3m, No. 166
# Crystal system ... trigonal
# Formation energy without anion corrections ... 0.07 eV per formula unit
data_CeTe2Au
_cell_length_a 4.029
_cell_length_b 4.029
_cell_length_c 9.678
_cell_angle_alpha 77.99
_cell_angle_beta 77.99
_cell_angle_gamma 60.00
_symmetry_space_group_name_H-M 'P 1'
_symmetry_Int_Tables_number 1
_symmetry_space_group_name_Hall 'P 1'
loop_
_atom_site_label
_atom_site_type_symbol
_atom_site_fract_x
_atom_site_fract_y
_atom_site_fract_z
Ce1 Ce 0.000 0.000 0.000
Te1 Te 0.109 0.109 0.674
Te2 Te 0.891 0.891 0.326
Au1 Au 0.500 0.500 0.500


Record 12
# CeTe2Au | Alexandria | PBE | optimized geometry
# Space-group type ... P4/mmm, No. 123
# Crystal system ... tetragonal
# Formation energy without anion corrections ... -3.07 eV per formula unit
data_CeTe2Au
_cell_length_a 4.051
_cell_length_b 5.008
_cell_length_c 5.008
_cell_angle_alpha 90.00
_cell_angle_beta 90.00
_cell_angle_gamma 90.00
_symmetry_space_group_name_H-M 'P 1'
_symmetry_Int_Tables_number 1
_symmetry_space_group_name_Hall 'P 1'
loop_
_atom_site_label
_atom_site_type_symbol
_atom_site_fract_x
_atom_site_fract_y
_atom_site_fract_z
Te1 Te 0.000 0.000 0.500
Te2 Te 0.000 0.500 0.000
Au1 Au 0.500 0.500 0.500
Ce1 Ce 0.500 0.000 0.000